Here is a geometry-optimized Rb2Tl2NiH4 structure from the Alexandria database. Energies are from PBE.

Output
Crystal system = tetragonal
N(E_F) = 4.74 states/eV/f.u.
Uncorrected energy = -2.805 eV per atom

Lattice parameters (Å, degrees): 6.5279 6.5279 6.5279 113.07 113.07 102.48
Last column: nearest neighbours and their distance in Å.
Atoms (fractional coordinates):
Rb 0.2500 0.7500 0.5000  8 H 3.41, 4 Tl 3.64
Rb 0.7500 0.2500 0.5000  8 H 3.41, 4 Tl 3.64
Tl 0.1824 0.1824 0.0000  1 Ni 2.60
Tl 0.8176 0.8176 0.0000  1 Ni 2.60
Ni 0.5000 0.5000 0.0000  4 H 1.55
H 0.3473 0.3473 0.6946  1 Ni 1.55
H 0.3473 0.6527 0.0000  1 Ni 1.55
H 0.6527 0.3473 0.0000  1 Ni 1.55
H 0.6527 0.6527 0.3054  1 Ni 1.55